Here is a relaxed structure of Pr6GaAg5 from the Alexandria database. Energies are from PBE-GGA.

Lattice parameters (Å, degrees): 9.233 9.233 9.233 146.44 131.56 60.22
Positions (direct):
1 Pr 0.083 0.335 0.748
2 Pr 0.247 0.000 0.247
3 Pr 0.413 0.665 0.748
4 Pr 0.587 0.335 0.252
5 Pr 0.753 0.000 0.753
6 Pr 0.917 0.665 0.252
7 Ga 0.000 0.500 0.500
8 Ag 0.167 0.167 0.000
9 Ag 0.333 0.833 0.500
10 Ag 0.500 0.500 0.000
11 Ag 0.667 0.167 0.500
12 Ag 0.833 0.833 0.000

Computed properties:
N(E_F): 1.0468 states/eV per atom
E_tot: -4.13 eV/atom